The following is a DFT calculation (PBE) of a geometry-optimized Ge4B structure.

Computed properties:
V = 85.9 Å³ per cell
final energy = -4.371 eV per atom
D(E_F) = 0.489 states/eV per atom

Cell: 4.413 4.413 4.413 Å, 90.00 90.00 90.00°
Element x y z (fractional)
Ge 0.000 0.000 0.000
Ge 0.500 0.000 0.500
Ge 0.000 0.500 0.500
Ge 0.500 0.500 0.000
B 0.500 0.500 0.500

---

The following is a DFT calculation (PBE) of a geometry-optimized Ge3BH structure.

Computed properties:
V = 83.8 Å³ per cell
final energy = -3.711 eV per atom
D(E_F) = 0.473 states/eV per atom

Cell: 4.376 4.376 4.376 Å, 90.00 90.00 90.00°
Element x y z (fractional)
H 0.500 0.500 0.500
Ge 0.000 0.500 0.000
Ge 0.000 0.000 0.500
Ge 0.500 0.000 0.000
B 0.000 0.000 0.000

---

The following is a DFT calculation (PBE) of a geometry-optimized GeBH3 structure.

Computed properties:
V = 46.0 Å³ per cell
final energy = -2.990 eV per atom
D(E_F) = 0.339 states/eV per atom

Cell: 3.582 3.582 3.582 Å, 90.00 90.00 90.00°
Element x y z (fractional)
H 0.000 0.500 0.000
H 0.000 0.000 0.500
H 0.500 0.000 0.000
Ge 0.000 0.000 0.000
B 0.500 0.500 0.500

---

The following is a DFT calculation (PBE) of a geometry-optimized GeBH2 structure.

Computed properties:
V = 69.9 Å³ per cell
final energy = -3.732 eV per atom
D(E_F) = 0.205 states/eV per atom

Cell: 4.621 4.621 4.625 Å, 60.03 60.03 90.00°
Element x y z (fractional)
H 0.376 0.125 0.250
H 0.374 0.625 0.250
H 0.375 0.624 0.750
H 0.875 0.626 0.750
Ge 0.000 0.000 0.000
Ge 0.750 0.250 0.500
B 0.500 0.500 0.000
B 0.250 0.750 0.500

---

The following is a DFT calculation (PBE) of a geometry-optimized GeBH2 structure.

Computed properties:
V = 31.1 Å³ per cell
final energy = -3.233 eV per atom
D(E_F) = 0.356 states/eV per atom

Cell: 3.528 3.528 3.528 Å, 60.00 60.00 60.00°
Element x y z (fractional)
H 0.250 0.250 0.250
H 0.750 0.750 0.750
Ge 0.500 0.500 0.500
B 0.000 0.000 0.000

---

The following is a DFT calculation (PBE) of a geometry-optimized GeBH3 structure.

Computed properties:
V = 223.0 Å³ per cell
final energy = -4.137 eV per atom
D(E_F) = 0.070 states/eV per atom

Cell: 4.246 13.505 3.899 Å, 85.67 90.00 90.00°
Element x y z (fractional)
Ge 0.499 0.421 0.272
Ge 0.501 0.579 0.728
Ge 0.999 0.579 0.228
Ge 0.001 0.421 0.772
B 0.833 0.132 0.973
B 0.167 0.868 0.027
B 0.333 0.868 0.527
B 0.667 0.132 0.473
H 0.250 0.933 0.260
H 0.750 0.067 0.740
H 0.750 0.067 0.240
H 0.250 0.933 0.760
H 0.112 0.139 0.971
H 0.888 0.861 0.029
H 0.612 0.861 0.529
H 0.388 0.139 0.471
H 0.338 0.797 0.045
H 0.662 0.203 0.955
H 0.838 0.203 0.455
H 0.162 0.797 0.545

---

The following is a DFT calculation (PBE) of a geometry-optimized GeBH3 structure.

Computed properties:
V = 35.5 Å³ per cell
final energy = -3.361 eV per atom
D(E_F) = 0.256 states/eV per atom

Cell: 3.288 3.288 3.288 Å, 90.00 90.00 90.00°
Element x y z (fractional)
H 0.000 0.500 0.000
H 0.000 0.000 0.500
H 0.500 0.000 0.000
Ge 0.500 0.500 0.500
B 0.000 0.000 0.000

---

The following is a DFT calculation (PBE) of a geometry-optimized HgGeBH2 structure.

Computed properties:
V = 58.8 Å³ per cell
final energy = -2.961 eV per atom
D(E_F) = 0.240 states/eV per atom

Cell: 3.530 4.713 3.530 Å, 90.00 90.00 90.00°
Element x y z (fractional)
H 0.000 0.000 0.500
H 0.500 0.000 0.000
Ge 0.000 0.000 0.000
B 0.000 0.500 0.000
Hg 0.500 0.500 0.500

---

Among the records above, which one has the highest D(E_F)?
Ge4B

---

Among the records above, which one has the highest D(E_F)?
Ge4B

---

The highest final energy belongs to which entry?
HgGeBH2

---

Please write out number 2 again, unchanged.
The following is a DFT calculation (PBE) of a geometry-optimized Ge3BH structure.

Computed properties:
V = 83.8 Å³ per cell
final energy = -3.711 eV per atom
D(E_F) = 0.473 states/eV per atom

Cell: 4.376 4.376 4.376 Å, 90.00 90.00 90.00°
Element x y z (fractional)
H 0.500 0.500 0.500
Ge 0.000 0.500 0.000
Ge 0.000 0.000 0.500
Ge 0.500 0.000 0.000
B 0.000 0.000 0.000